[1]
Entry from Alexandria via LeMat-Bulk: crystalline YReTc2 at its relaxed geometry (PBE-GGA).

The calculation puts the formation energy at 254 meV per atom.

The structure belongs to space group C2/m (No. 12); the cell edges are 9.713, 3.128 and 5.059 Å and the angles 90.00°, 110.61° and 90.00°. The distinct sites, in fractional coordinates, are Y at (0.000, 0.000, 0.000), Re at (0.000, 0.500, 0.500) and Tc at (0.222, 0.000, 0.691).

***

[2]
Entry from Alexandria via LeMat-Bulk: crystalline Y2ReTc at its relaxed geometry (PBE-GGA).

The calculation puts the formation energy at 587 meV per atom. As for the relative energy among the computed polymorphs: 0.561 eV/atom.

The structure belongs to space group C2/m (No. 12); the cell edges are 9.223, 2.953 and 6.023 Å and the angles 90.00°, 94.25° and 90.00°. The distinct sites, in fractional coordinates, are Y at (0.248, 0.000, 0.250), Re at (0.000, 0.500, 0.000) and Tc at (0.000, 0.000, 0.500).

***

[3]
Entry from Alexandria via LeMat-Bulk: crystalline YReTc2 at its relaxed geometry (PBE-GGA).

The calculation puts the formation energy at 260 meV per atom.

The structure belongs to space group Immm (No. 71); the cell edges are 3.151, 4.847 and 9.181 Å and the angles 90.00°, 90.00° and 90.00°. The distinct sites, in fractional coordinates, are Y at (0.000, 0.000, 0.000), Re at (0.000, 0.000, 0.500) and Tc at (0.000, 0.500, 0.223).

***

[4]
Entry from Alexandria via LeMat-Bulk: crystalline Y2ReTc at its relaxed geometry (PBE-GGA).

The calculation puts the formation energy at 871 meV per atom. As for the relative energy among the computed polymorphs: 0.846 eV/atom.

The structure belongs to space group I-42d (No. 122); the cell edges are 7.721, 7.721 and 5.756 Å and the angles 90.00°, 90.00° and 90.00°. The distinct sites, in fractional coordinates, are Y at (0.245, 0.750, 0.125), Re at (0.000, 0.000, 0.500) and Tc at (0.000, 0.000, 0.000).